[1]
Below is KZnCl2 after structural relaxation, with properties calculated at the PBE level.

Summary:
Energy above the lowest structure with this stoichiometry (meV/atom): 42
Formation energy without anion corrections (meV per atom): -1086.5

abc: 13.2946 3.9769 4.0859
angles: 90.00 90.02 90.00
Space group Cm (No. 8)
Symmetry-distinct sites (fractional):
K  0.0000  0.0000  0.0000 (multiplicity 2)
Zn  0.2289  0.0000  0.5078 (multiplicity 2)
Cl  0.1980  0.5000  0.9807 (multiplicity 2)
Cl  0.4114  0.0000  0.4999 (multiplicity 2)

=====

[2]
Below is Sm2ZnCu5Ni2 after structural relaxation, with properties calculated at the PBE level.

Summary:
Energy of formation from the pure elements (eV/atom): -0.151

abc: 9.1438 9.1438 3.7975
angles: 90.00 90.00 90.00
Space group P4/mbm (No. 127)
Symmetry-distinct sites (fractional):
Sm  0.1828  0.3172  0.0000 (multiplicity 4)
Zn  0.0000  0.0000  0.0000 (multiplicity 2)
Cu  0.0000  0.5000  0.5000 (multiplicity 2)
Cu  0.0549  0.7956  0.5000 (multiplicity 8)
Ni  0.1144  0.6144  0.0000 (multiplicity 4)